Material: AcTmRh
Method: DFT, PBE
State: optimized geometry

extended XYZ file:
```
3
Lattice="3.5959 0.0000 0.0000 0.0000 3.5959 0.0000 -1.7980 -1.7980 6.4826" Properties=species:S:1:pos:R:3 pbc="T T T"
Ac 0.0000 0.0000 0.3686
Tm 0.0000 0.0000 3.7449
Rh 1.7980 1.7980 2.3691
```

## Properties
E = -5.765 eV per atom
ΔH_f (0 K) = -0.455 eV per atom